Material: Ag2HgGeS4
Method: DFT, PBE
State: relaxed

Computed properties:
For the uncorrected formation energy, the calculation gives -1.7 eV/f.u. Its energy relative to the lowest polymorph listed for this composition is 9 meV per atom.

Unit cell a=7.116 b=7.116 c=7.116 alpha=132.77 beta=132.77 gamma=69.02
Fractional coordinates of all 8 atoms:
Ag (0.250, 0.750, 0.500)
Ag (0.750, 0.250, 0.500)
Hg (0.000, 0.000, 0.000)
Ge (0.500, 0.500, 0.000)
S (0.159, 0.159, 0.553)
S (0.394, 0.841, 0.000)
S (0.606, 0.606, 0.447)
S (0.841, 0.394, 0.000)

***

Material: Ag2HgGeS4
Method: DFT, PBE
State: relaxed

Computed properties:
For the uncorrected formation energy, the calculation gives -1.7 eV/f.u. Its energy relative to the lowest polymorph listed for this composition is 0 meV per atom.

Unit cell a=6.714 b=7.009 c=10.510 alpha=90.00 beta=129.50 gamma=90.00
Fractional coordinates of all 16 atoms:
Ag (0.000, 0.149, 0.000)
Ag (0.000, 0.851, 0.500)
Ag (0.766, 0.322, 0.246)
Ag (0.766, 0.678, 0.746)
Hg (0.272, 0.316, 0.759)
Hg (0.272, 0.684, 0.259)
Ge (0.506, 0.180, 0.502)
Ge (0.506, 0.820, 0.002)
S (0.166, 0.327, 0.270)
S (0.166, 0.673, 0.770)
S (0.390, 0.121, 0.007)
S (0.390, 0.879, 0.507)
S (0.631, 0.330, 0.733)
S (0.631, 0.670, 0.233)
S (0.837, 0.182, 0.498)
S (0.837, 0.818, 0.998)

***

Material: AgHgGe2S6
Method: DFT, PBE
State: relaxed

Computed properties:
For the uncorrected formation energy, the calculation gives -1.1 eV/f.u.

Unit cell a=9.073 b=9.073 c=6.522 alpha=107.14 beta=107.14 gamma=90.33
Fractional coordinates of all 20 atoms:
Ag (0.235, 0.765, 0.750)
Ag (0.765, 0.235, 0.250)
Hg (0.295, 0.705, 0.250)
Hg (0.705, 0.295, 0.750)
Ge (0.143, 0.293, 0.774)
Ge (0.293, 0.143, 0.274)
Ge (0.707, 0.857, 0.726)
Ge (0.857, 0.707, 0.226)
S (0.080, 0.611, 0.371)
S (0.083, 0.196, 0.026)
S (0.196, 0.083, 0.526)
S (0.323, 0.490, 0.884)
S (0.389, 0.920, 0.129)
S (0.490, 0.323, 0.384)
S (0.510, 0.677, 0.616)
S (0.611, 0.080, 0.871)
S (0.677, 0.510, 0.116)
S (0.804, 0.917, 0.474)
S (0.917, 0.804, 0.974)
S (0.920, 0.389, 0.629)

***

Material: AgHgGe2Se6
Method: DFT, PBE
State: relaxed

Computed properties:
For the uncorrected formation energy, the calculation gives -1.3 eV/f.u.

Unit cell a=9.559 b=9.559 c=6.786 alpha=107.12 beta=107.12 gamma=92.02
Fractional coordinates of all 20 atoms:
Ag (0.238, 0.762, 0.750)
Ag (0.762, 0.238, 0.250)
Hg (0.291, 0.709, 0.250)
Hg (0.709, 0.291, 0.750)
Ge (0.145, 0.292, 0.780)
Ge (0.292, 0.145, 0.280)
Ge (0.708, 0.855, 0.720)
Ge (0.855, 0.708, 0.220)
Se (0.076, 0.195, 0.034)
Se (0.077, 0.607, 0.366)
Se (0.195, 0.076, 0.534)
Se (0.334, 0.495, 0.889)
Se (0.393, 0.923, 0.134)
Se (0.495, 0.334, 0.389)
Se (0.505, 0.666, 0.611)
Se (0.607, 0.077, 0.866)
Se (0.666, 0.505, 0.111)
Se (0.805, 0.924, 0.466)
Se (0.923, 0.393, 0.634)
Se (0.924, 0.805, 0.966)

***

Material: AgHg2GeSe
Method: DFT, PBE
State: relaxed

Computed properties:
For the uncorrected formation energy, the calculation gives 3.0 eV/f.u.

Unit cell a=5.266 b=5.266 c=5.458 alpha=90.00 beta=90.00 gamma=90.00
Fractional coordinates of all 5 atoms:
Ag (0.000, 0.000, 0.000)
Hg (0.000, 0.500, 0.500)
Hg (0.500, 0.000, 0.500)
Ge (0.500, 0.500, 0.000)
Se (0.500, 0.500, 0.500)

***

Material: Ag6HgGeSe6
Method: DFT, PBE
State: relaxed

Computed properties:
For the uncorrected formation energy, the calculation gives -2.0 eV/f.u.

Unit cell a=8.086 b=7.917 c=10.765 alpha=90.00 beta=90.00 gamma=90.00
Fractional coordinates of all 28 atoms:
Ag (0.000, 0.117, 0.000)
Ag (0.000, 0.262, 0.495)
Ag (0.189, 0.886, 0.838)
Ag (0.240, 0.588, 0.174)
Ag (0.260, 0.412, 0.674)
Ag (0.311, 0.114, 0.338)
Ag (0.500, 0.738, 0.995)
Ag (0.500, 0.883, 0.500)
Ag (0.689, 0.114, 0.338)
Ag (0.740, 0.412, 0.674)
Ag (0.760, 0.588, 0.174)
Ag (0.811, 0.886, 0.838)
Hg (0.000, 0.485, 0.874)
Hg (0.500, 0.515, 0.374)
Ge (0.000, 0.758, 0.485)
Ge (0.500, 0.242, 0.985)
Se (0.000, 0.214, 0.739)
Se (0.000, 0.524, 0.347)
Se (0.000, 0.743, 0.016)
Se (0.000, 0.994, 0.348)
Se (0.241, 0.744, 0.614)
Se (0.259, 0.256, 0.114)
Se (0.500, 0.006, 0.848)
Se (0.500, 0.257, 0.516)
Se (0.500, 0.476, 0.847)
Se (0.500, 0.786, 0.239)
Se (0.741, 0.256, 0.114)
Se (0.759, 0.744, 0.614)

***

Material: Ag2HgGeSe4
Method: DFT, PBE
State: relaxed

Computed properties:
For the uncorrected formation energy, the calculation gives -1.6 eV/f.u.

Unit cell a=7.423 b=7.423 c=6.014 alpha=66.10 beta=66.10 gamma=47.80
Fractional coordinates of all 8 atoms:
Ag (0.000, 0.000, 0.500)
Ag (0.500, 0.500, 0.000)
Hg (0.250, 0.250, 0.750)
Ge (0.750, 0.750, 0.250)
Se (0.098, 0.644, 0.902)
Se (0.402, 0.856, 0.144)
Se (0.644, 0.098, 0.356)
Se (0.856, 0.402, 0.598)

***

Material: SmAgHgGe
Method: DFT, PBE
State: relaxed

Computed properties:
The value obtained for the formation energy from the elements is -0.332 eV/atom.

Unit cell a=5.021 b=5.021 c=5.021 alpha=60.00 beta=60.00 gamma=60.00
Fractional coordinates of all 4 atoms:
Sm (0.000, 0.000, 0.000)
Ag (0.500, 0.500, 0.500)
Hg (0.750, 0.750, 0.750)
Ge (0.250, 0.250, 0.250)

***

Material: AgSnHgGe
Method: DFT, PBE
State: relaxed

Computed properties:
The value obtained for the formation energy from the elements is 0.241 eV/atom.

Unit cell a=5.036 b=5.036 c=5.036 alpha=60.00 beta=60.00 gamma=60.00
Fractional coordinates of all 4 atoms:
Ag (0.000, 0.000, 0.000)
Sn (0.500, 0.500, 0.500)
Hg (0.250, 0.250, 0.250)
Ge (0.750, 0.750, 0.750)

***

Material: TcAgHg2Ge
Method: DFT, PBE
State: relaxed

Computed properties:
The value obtained for the formation energy from the elements is 0.944 eV/atom.

Unit cell a=5.130 b=5.130 c=4.830 alpha=90.00 beta=90.00 gamma=90.00
Fractional coordinates of all 5 atoms:
Tc (0.000, 0.000, 0.000)
Ag (0.500, 0.500, 0.000)
Hg (0.000, 0.500, 0.500)
Hg (0.500, 0.000, 0.500)
Ge (0.000, 0.000, 0.500)

***

Material: Ag2HgGeTe4
Method: DFT, PBE
State: relaxed

Computed properties:
For the uncorrected formation energy, the calculation gives -0.8 eV/f.u.

Unit cell a=7.841 b=7.841 c=7.841 alpha=131.38 beta=131.38 gamma=71.22
Fractional coordinates of all 8 atoms:
Ag (0.250, 0.750, 0.500)
Ag (0.750, 0.250, 0.500)
Hg (0.000, 0.000, 0.000)
Ge (0.500, 0.500, 0.000)
Te (0.142, 0.142, 0.534)
Te (0.393, 0.858, 0.000)
Te (0.607, 0.607, 0.466)
Te (0.858, 0.393, 0.000)

***

Material: AgHg2GeTe4
Method: DFT, PBE
State: relaxed

Computed properties:
For the uncorrected formation energy, the calculation gives -0.7 eV/f.u.

Unit cell a=8.018 b=8.017 c=6.570 alpha=65.82 beta=65.81 gamma=48.37
Fractional coordinates of all 8 atoms:
Ag (0.000, 0.000, 0.000)
Hg (0.250, 0.250, 0.250)
Hg (0.750, 0.750, 0.750)
Ge (0.500, 0.500, 0.500)
Te (0.132, 0.629, 0.868)
Te (0.371, 0.867, 0.133)
Te (0.629, 0.132, 0.371)
Te (0.867, 0.371, 0.629)

***

Number 1: total magnetization 0.000 μB/atom, ρ 5.4 Mg/m³. Number 2: total magnetization 0.000 μB/atom, ρ 5.4 Mg/m³. Number 3: total magnetization 0.000 μB/atom, ρ 4.4 Mg/m³. Number 4: total magnetization 0.000 μB/atom, ρ 5.5 Mg/m³. Number 5: total magnetization 0.000 μB/atom, ρ 7.2 Mg/m³. Number 6: total magnetization 0.000 μB/atom, ρ 6.7 Mg/m³. Number 7: total magnetization 0.000 μB/atom, ρ 6.1 Mg/m³. Number 8: total magnetization 0.000 μB/atom, ρ 9.9 Mg/m³. Number 9: total magnetization 0.000 μB/atom, ρ 9.2 Mg/m³. Number 10: total magnetization 0.503 μB/atom, ρ 8.9 Mg/m³. Number 11: total magnetization 0.000 μB/atom, ρ 6.2 Mg/m³. Number 12: total magnetization 0.000 μB/atom, ρ 6.4 Mg/m³.